Entry from the Alexandria database: a geometry-optimized Ag2PBr structure (PBE).

abc: 6.378 3.684 7.395
angles: 90.00 106.59 90.00
Space group C2/m (No. 12)
Unique sites:
1 Ag 0.238 0.000 0.214 x4
2 P 0.000 0.500 0.000 x2
3 Br 0.000 0.000 0.500 x2

The calculation puts the formation energy from raw total energies at 0.114 eV per atom. The value obtained for the total magnetic moment is 0.0 μB/cell.